Record 1
This record from OQMD via LeMat-Bulk describes a relaxed HoSiTe crystal. The functional is PBE.

The calculation puts the mass density at 6.582 g cm⁻³. For the spin magnetization, the calculation gives 0.1 μB/cell. The total energy comes out at -4.4879 eV per atom.

Unit cell a=4.854 b=4.854 c=4.854 alpha=60.00 beta=60.00 gamma=60.00
Element x y z (fractional)
1 Te 0.750 0.750 0.750
2 Ho 0.250 0.250 0.250
3 Si 0.000 0.000 0.000


Record 2
This record from OQMD via LeMat-Bulk describes a relaxed NiAgTeAu crystal. The functional is PBE.

The calculation puts the mass density at 11.114 g cm⁻³. For the spin magnetization, the calculation gives 0.0 μB/cell. Its energy above the lowest structure with this stoichiometry is 0.000 eV/atom. The total energy comes out at -3.4714 eV per atom.

Unit cell a=4.699 b=4.699 c=4.699 alpha=60.00 beta=60.00 gamma=60.00
Element x y z (fractional)
1 Te 0.250 0.250 0.250
2 Ag 0.000 0.000 0.000
3 Au 0.750 0.750 0.750
4 Ni 0.500 0.500 0.500


Record 3
This record from OQMD via LeMat-Bulk describes a relaxed RbTeMo crystal. The functional is PBE.

The calculation puts the mass density at 4.316 g cm⁻³. For the spin magnetization, the calculation gives 5.0 μB/cell. Its energy above the lowest structure with this stoichiometry is 0.533 eV/atom. The total energy comes out at -3.6186 eV per atom.

Unit cell a=5.519 b=5.519 c=5.519 alpha=60.00 beta=60.00 gamma=60.00
Element x y z (fractional)
1 Te 0.750 0.750 0.750
2 Rb 0.000 0.000 0.000
3 Mo 0.250 0.250 0.250


Record 4
This record from OQMD via LeMat-Bulk describes a relaxed YIn2Ni crystal. The functional is PBE.

The calculation puts the mass density at 7.026 g cm⁻³. For the spin magnetization, the calculation gives 0.0 μB/cell. The total energy comes out at -4.7375 eV per atom.

Unit cell a=9.699 b=9.699 c=4.261 alpha=90.00 beta=90.00 gamma=153.59
Element x y z (fractional)
1 In 0.500 0.500 0.500
2 In 0.706 0.294 0.000
3 In 0.294 0.706 0.000
4 In 0.000 0.000 0.000
5 Y 0.139 0.861 0.500
6 Y 0.861 0.139 0.500
7 Ni 0.425 0.575 0.000
8 Ni 0.575 0.425 0.000


Record 5
This record from OQMD via LeMat-Bulk describes a relaxed Sm4C2IBr2Cl2 crystal. The functional is PBE.

The calculation puts the mass density at 5.350 g cm⁻³. For the spin magnetization, the calculation gives 0.0 μB/cell. The total energy comes out at -5.5626 eV per atom.

Unit cell a=9.781 b=9.781 c=8.459 alpha=104.92 beta=104.92 gamma=23.00
Element x y z (fractional)
1 Sm 0.999 0.999 0.308
2 Sm 0.342 0.342 0.394
3 Sm 0.658 0.658 0.606
4 Sm 0.001 0.001 0.692
5 C 0.538 0.538 0.524
6 C 0.462 0.462 0.476
7 Br 0.832 0.832 0.655
8 Br 0.168 0.168 0.345
9 I 0.500 0.500 0.000
10 Cl 0.158 0.158 0.840
11 Cl 0.842 0.842 0.160


Record 6
This record from OQMD via LeMat-Bulk describes a relaxed DyLuHf crystal. The functional is PBE.

The calculation puts the mass density at 8.905 g cm⁻³. For the spin magnetization, the calculation gives 0.7 μB/cell. Its energy above the lowest structure with this stoichiometry is 0.000 eV/atom. The value obtained for the formation energy is 0.86 eV per atom. The total energy comes out at -5.5029 eV per atom.

Unit cell a=5.143 b=5.143 c=5.143 alpha=60.00 beta=60.00 gamma=60.00
Element x y z (fractional)
1 Lu 0.750 0.750 0.750
2 Hf 0.000 0.000 0.000
3 Dy 0.250 0.250 0.250


Question: Which formula does entry 1 have?
Answer: HoSiTe